CuNi2Sn (PBE, relaxed); crystal system = cubic; spin magnetization = 0.0 μB/cell; E = -19.12 eV per formula unit
1.0
0.000 2.986 2.986
2.986 0.000 2.986
2.986 2.986 0.000
Ni Cu Sn
2 1 1
direct
0.000 0.000 0.000 Ni
0.750 0.750 0.750 Ni
0.250 0.250 0.250 Cu
0.500 0.500 0.500 Sn